VCdPt2N, relaxed, DFT PBE-GGA; N(E_F) = 2.157 states/eV per atom
1.0
4.5371 0.0000 0.0000
0.0000 4.5371 0.0000
0.0000 0.0000 5.2296
V Cd Pt N
1 1 2 1
Direct
0.0000 0.0000 0.0000
0.0000 0.0000 0.5000
0.0000 0.5000 0.0000
0.5000 0.0000 0.0000
0.5000 0.5000 0.5000

---

VCd2PtN, relaxed, DFT PBE-GGA; N(E_F) = 1.473 states/eV per atom
1.0
4.8578 0.0000 0.0000
0.0000 4.8578 0.0000
0.0000 0.0000 3.7991
V Cd Pt N
1 2 1 1
Direct
0.0000 0.0000 0.0000
0.0000 0.5000 0.5000
0.5000 0.0000 0.5000
0.5000 0.5000 0.0000
0.5000 0.5000 0.5000

---

ZnCd2PtN, relaxed, DFT PBE-GGA; N(E_F) = 0.491 states/eV per atom
1.0
5.1224 0.0000 0.0000
0.0000 5.1224 0.0000
0.0000 0.0000 4.6766
Zn Cd Pt N
1 2 1 1
Direct
0.0000 0.0000 0.0000
0.0000 0.5000 0.0000
0.5000 0.0000 0.0000
0.0000 0.0000 0.5000
0.5000 0.5000 0.5000

---

Pu2CdN, relaxed, DFT PBE-GGA; N(E_F) = 3.529 states/eV per atom; energy relative to the lowest polymorph listed for this composition = 0 meV/atom
1.0
1.6878 0.9744 8.6668
-1.6878 0.9744 8.6668
0.0000 -1.9489 8.6668
Pu Cd N
2 1 1
Direct
0.0000 0.0000 0.0000
0.2229 0.2229 0.2229
0.7771 0.7771 0.7771
0.6108 0.6108 0.6108

---

PuCdN, relaxed, DFT PBE-GGA; N(E_F) = 1.867 states/eV per atom; energy relative to the lowest polymorph listed for this composition = 0 meV/atom
1.0
1.8998 1.0968 10.2149
-1.8998 1.0968 10.2149
0.0000 -2.1937 10.2149
Pu Cd N
2 2 2
Direct
0.1223 0.1223 0.1223
0.8777 0.8777 0.8777
0.3684 0.3684 0.3684
0.6316 0.6316 0.6316
0.1959 0.1959 0.1959
0.8041 0.8041 0.8041

---

Pu2CdN, relaxed, DFT PBE-GGA; N(E_F) = 3.267 states/eV per atom; energy relative to the lowest polymorph listed for this composition = 128 meV/atom
1.0
1.6560 0.9561 9.5581
-1.6560 0.9561 9.5581
0.0000 -1.9122 9.5581
Pu Cd N
2 1 1
Direct
0.1161 0.1161 0.1161
0.8839 0.8839 0.8839
0.0000 0.0000 0.0000
0.5000 0.5000 0.5000

---

Values for M_tot, μB per formula unit, ordered as above
0.00 0.03 2.60 11.32 4.67 11.50
Values for ΔE_f (raw), eV/atom, ordered as above
1.967 0.890 1.364 -0.555 -0.739 -0.427
Values for mass density, g/cm³, ordered as above
8.75 8.98 6.76 11.93 9.63 11.24